P.
Entry from the Alexandria database: crystalline LiNd2Os at its relaxed geometry (GGA-PBE).

Summary:
Crystal system   cubic
Fermi-level density of states   2.4 states/eV/f.u.
Size of the total moment   0.00 μB/f.u.
Volume   91.63 Å³/cell

Cell and atoms, written as extended XYZ:
```
4
Lattice="5.060 0.000 0.000 2.530 4.383 0.000 2.530 1.461 4.132" Properties=species:S:1:pos:R:3 pbc="T T T"
Nd 2.530 1.461 1.033
Nd 7.591 4.383 3.099
Os 0.000 0.000 0.000
Li 5.060 2.922 2.066
```

Q.
Entry from the Alexandria database: crystalline LiNd2Os at its relaxed geometry (GGA-PBE).

Summary:
Crystal system   tetragonal
Fermi-level density of states   2.8 states/eV/f.u.
Size of the total moment   0.00 μB/f.u.
Volume   103.98 Å³/cell

Cell and atoms, written as extended XYZ:
```
4
Lattice="-0.370 1.130 3.299 2.258 -2.451 1.093 6.408 5.399 -1.131" Properties=species:S:1:pos:R:3 pbc="T T T"
Nd 5.097 4.294 -0.900
Nd 1.311 1.105 -0.232
Os 0.944 -0.660 2.196
Li 4.148 2.039 1.630
```

Structures ranked by computed energy, the most stable listed first: P, Q.

P.
Entry from the Alexandria database: crystalline LiNd2Pa at its relaxed geometry (GGA-PBE).

Summary:
Crystal system   tetragonal
Fermi-level density of states   4.2 states/eV/f.u.
Size of the total moment   0.00 μB/f.u.
Volume   113.85 Å³/cell

Cell and atoms, written as extended XYZ:
```
4
Lattice="3.457 0.000 0.000 0.000 3.457 0.000 0.000 0.000 9.529" Properties=species:S:1:pos:R:3 pbc="T T T"
Pa 1.728 1.728 4.764
Nd 0.000 0.000 7.159
Nd 0.000 0.000 2.370
Li 1.728 1.728 0.000
```

Q.
Entry from the Alexandria database: crystalline LiNd2Pa at its relaxed geometry (GGA-PBE).

Summary:
Crystal system   tetragonal
Fermi-level density of states   8.1 states/eV/f.u.
Size of the total moment   0.17 μB/f.u.
Volume   112.86 Å³/cell

Cell and atoms, written as extended XYZ:
```
4
Lattice="3.414 0.000 0.000 0.000 5.750 0.000 0.000 0.000 5.750" Properties=species:S:1:pos:R:3 pbc="T T T"
Pa 1.707 2.875 2.875
Nd 0.000 0.000 2.875
Nd 0.000 2.875 0.000
Li 1.707 0.000 0.000
```

Structures ranked by computed energy, the most stable listed first: P, Q.

P.
Entry from the Alexandria database: crystalline LiNdSnPb at its relaxed geometry (GGA-PBE).

Summary:
Crystal system   orthorhombic
Fermi-level density of states   1.3 states/eV/f.u.
Size of the total moment   0.00 μB/f.u.
Volume   104.44 Å³/cell

Cell and atoms, written as extended XYZ:
```
4
Lattice="4.562 0.000 0.000 0.000 4.728 0.000 0.000 0.000 4.842" Properties=species:S:1:pos:R:3 pbc="T T T"
Li 2.281 0.000 2.421
Nd 2.281 2.364 0.000
Sn 0.000 0.000 0.000
Pb 0.000 2.364 2.421
```

Q.
Entry from the Alexandria database: crystalline LiNdSnPb at its relaxed geometry (GGA-PBE).

Summary:
Crystal system   cubic
Fermi-level density of states   2.5 states/eV/f.u.
Size of the total moment   0.00 μB/f.u.
Volume   108.38 Å³/cell

Cell and atoms, written as extended XYZ:
```
4
Lattice="-4.467 1.299 -2.645 -4.142 -3.387 -0.082 -4.467 1.170 2.705" Properties=species:S:1:pos:R:3 pbc="T T T"
Pb -9.807 -0.689 -0.016
Nd -6.538 -0.459 -0.011
Sn -3.269 -0.230 -0.005
Li 0.000 0.000 0.000
```

Structures ranked by computed energy, the most stable listed first: P, Q.

P.
Entry from the Alexandria database: crystalline LiNdPd3 at its relaxed geometry (GGA-PBE).

Summary:
Crystal system   hexagonal
Fermi-level density of states   1.5 states/eV/f.u.
Size of the total moment   0.00 μB/f.u.
Volume   178.64 Å³/cell

Cell and atoms, written as extended XYZ:
```
10
Lattice="-3.116 3.751 -2.436 -4.526 -1.162 4.001 4.198 4.313 1.272" Properties=species:S:1:pos:R:3 pbc="T T T"
Li -4.526 -1.162 4.001
Li -1.558 1.876 -1.218
Nd -3.955 3.477 1.265
Nd 0.511 3.426 1.573
Pd -1.773 5.599 1.742
Pd -1.818 2.717 3.461
Pd -1.671 1.303 1.095
Pd -1.626 4.185 -0.624
Pd -3.702 0.782 2.891
Pd 0.258 6.120 -0.053
```

Q.
Entry from the Alexandria database: crystalline LiNdPd3 at its relaxed geometry (GGA-PBE).

Summary:
Crystal system   cubic
Fermi-level density of states   2.0 states/eV/f.u.
Size of the total moment   0.00 μB/f.u.
Volume   88.42 Å³/cell

Cell and atoms, written as extended XYZ:
```
5
Lattice="4.455 0.000 0.000 0.000 4.455 0.000 0.000 0.000 4.455" Properties=species:S:1:pos:R:3 pbc="T T T"
Nd 2.228 2.228 2.228
Pd 0.000 2.228 0.000
Pd 0.000 0.000 2.228
Pd 2.228 0.000 0.000
Li 0.000 0.000 0.000
```

Structures ranked by computed energy, the most stable listed first: P, Q.

P.
Entry from the Alexandria database: crystalline LiNd2Pd3 at its relaxed geometry (GGA-PBE).

Summary:
Crystal system   orthorhombic
Fermi-level density of states   2.2 states/eV/f.u.
Size of the total moment   0.00 μB/f.u.
Volume   133.98 Å³/cell

Cell and atoms, written as extended XYZ:
```
6
Lattice="4.429 0.000 0.000 0.000 5.624 0.000 -2.215 -2.812 5.378" Properties=species:S:1:pos:R:3 pbc="T T T"
Li 0.000 2.812 0.000
Nd 2.215 0.000 1.974
Nd 0.000 2.812 3.405
Pd 0.000 0.000 4.019
Pd 0.000 0.000 0.000
Pd 2.215 2.812 1.359
```

Q.
Entry from the Alexandria database: crystalline LiNd2Pd3 at its relaxed geometry (GGA-PBE).

Summary:
Crystal system   hexagonal
Fermi-level density of states   3.1 states/eV/f.u.
Size of the total moment   0.00 μB/f.u.
Volume   263.91 Å³/cell

Cell and atoms, written as extended XYZ:
```
12
Lattice="-2.952 3.228 0.957 -1.331 -3.675 -2.184 -3.094 -6.760 13.260" Properties=species:S:1:pos:R:3 pbc="T T T"
Li -4.732 -4.143 9.855
Li -2.645 -3.064 2.178
Nd -1.921 -4.197 8.233
Nd -1.173 -2.563 5.027
Nd -0.374 -0.817 1.603
Nd -2.720 -5.943 11.658
Pd -3.185 -0.763 3.225
Pd -4.191 -6.444 8.808
Pd -4.018 -2.584 6.797
Pd -3.358 -4.623 5.236
Pd -1.931 -1.505 -0.880
Pd -5.445 -5.702 12.913
```

Structures ranked by computed energy, the most stable listed first: Q, P.

P.
Entry from the Alexandria database: crystalline Li2NdPd5 at its relaxed geometry (GGA-PBE).

Summary:
Crystal system   orthorhombic
Fermi-level density of states   5.4 states/eV/f.u.
Size of the total moment   0.00 μB/f.u.
Volume   133.05 Å³/cell

Cell and atoms, written as extended XYZ:
```
8
Lattice="-1.093 0.197 -3.615 -3.492 -5.251 -1.209 -6.346 0.982 -0.007" Properties=species:S:1:pos:R:3 pbc="T T T"
Li -8.052 -2.980 -3.663
Li -2.878 -1.092 -1.168
Nd 0.000 0.000 0.000
Pd -4.919 -2.135 -0.608
Pd -3.643 -2.703 -3.003
Pd -7.287 -1.369 -1.829
Pd -6.101 -3.958 -2.328
Pd -4.829 -0.114 -2.503
```

Q.
Entry from the Alexandria database: crystalline Li2NdPd5 at its relaxed geometry (GGA-PBE).

Summary:
Crystal system   tetragonal
Fermi-level density of states   3.5 states/eV/f.u.
Size of the total moment   0.00 μB/f.u.
Volume   136.64 Å³/cell

Cell and atoms, written as extended XYZ:
```
8
Lattice="5.374 -0.233 -1.695 -2.944 4.501 -1.696 0.129 0.229 5.633" Properties=species:S:1:pos:R:3 pbc="T T T"
Li -0.734 3.551 1.028
Li 3.425 1.183 1.028
Nd 2.021 3.550 2.994
Pd 0.739 1.302 1.876
Pd -0.794 3.435 -1.790
Pd 3.491 1.299 3.843
Pd 1.953 3.435 0.178
Pd 0.676 1.185 -0.942
```

Structures ranked by computed energy, the most stable listed first: Q, P.